## TiTe4Rh (PBE)

Data for a relaxed TiTe4Rh crystal.

Cell lengths 3.7792, 7.2354, 6.1984 Å; angles 89.37, 90.00, 90.00 degrees
Sites, in units of the cell vectors:
Ti 0.5000 0.0000 0.5000
Te 0.0000 0.2433 0.3300
Te 0.5000 0.7680 0.1519
Te 0.5000 0.2320 0.8481
Te 0.0000 0.7567 0.6700
Rh 0.0000 0.0000 0.0000

Results
- electronic total energy (eV per atom) = -5.13
- ΔE_f (raw) (eV per atom) = -0.496
- relative energy among the computed polymorphs (kJ/mol of formula units) = 2
- SG = P2/m, No. 10